(1)
Entry from Alexandria via LeMat-Bulk: an optimized crystal structure of La3SmN4 (GGA-PBE).

Cell and atoms, written as CIF:
```
data_La3SmN4
_chemical_formula_sum 'La6 Sm2 N8'
_space_group_name_H-M_alt 'P 1 2/c 1'
_space_group_IT_number 13
_cell_length_a 6.426
_cell_length_b 7.439
_cell_length_c 6.425
_cell_angle_alpha 90.00
_cell_angle_beta 109.30
_cell_angle_gamma 90.00
loop_
_space_group_symop_operation_xyz
'x,y,z'
'-x,-y,-z'
'-x,y,-z+1/2'
'x,-y,z+1/2'
loop_
_atom_site_label
_atom_site_type_symbol
_atom_site_fract_x
_atom_site_fract_y
_atom_site_fract_z
La1 La 0.000 0.124 0.250
La2 La 0.000 0.370 0.750
La3 La 0.500 0.370 0.250
Sm1 Sm 0.500 0.128 0.750
N1 N 0.252 0.358 0.506
N2 N 0.256 0.132 0.997
```

Values from the calculation:
Spin magnetization = 0.000 Bohr magnetons per cell
E_form (uncorrected) = -10.80 eV per formula unit

(2)
Entry from Alexandria via LeMat-Bulk: an optimized crystal structure of La4GaTeN (GGA-PBE).

Cell and atoms, written as CIF:
```
data_La4GaTeN
_chemical_formula_sum 'La16 Ga4 Te4 N4'
_space_group_name_H-M_alt 'C m c m'
_space_group_IT_number 63
_space_group_name_Hall '-C 2c 2'
_cell_length_a 6.964
_cell_length_b 16.354
_cell_length_c 7.054
_cell_angle_alpha 90.00
_cell_angle_beta 90.00
_cell_angle_gamma 90.00
loop_
_atom_site_label
_atom_site_type_symbol
_atom_site_fract_x
_atom_site_fract_y
_atom_site_fract_z
La1 La 0.000 0.079 0.250
La2 La 0.000 0.409 0.250
La3 La 0.250 0.250 0.000
Ga1 Ga 0.000 0.116 0.750
Te1 Te 0.000 0.392 0.750
N1 N 0.000 0.232 0.250
```

Values from the calculation:
Spin magnetization = 0.000 Bohr magnetons per cell
E_form (uncorrected) = -6.75 eV per formula unit

(3)
Entry from Alexandria via LeMat-Bulk: an optimized crystal structure of AcPmPr4Tm2 (GGA-PBE).

Cell and atoms, written as CIF:
```
data_AcPmPr4Tm2
_chemical_formula_sum 'Ac2 Pm2 Pr8 Tm4'
_space_group_name_H-M_alt 'C 1 2/m 1'
_space_group_IT_number 12
_cell_length_a 11.639
_cell_length_b 5.217
_cell_length_c 10.469
_cell_angle_alpha 90.00
_cell_angle_beta 116.85
_cell_angle_gamma 90.00
loop_
_space_group_symop_operation_xyz
'x,y,z'
'-x,-y,-z'
'-x,y,-z'
'x,-y,z'
'x+1/2,y+1/2,z'
'-x+1/2,-y+1/2,-z'
'-x+1/2,y+1/2,-z'
'x+1/2,-y+1/2,z'
loop_
_atom_site_label
_atom_site_type_symbol
_atom_site_fract_x
_atom_site_fract_y
_atom_site_fract_z
Ac1 Ac 0.000 0.000 0.000
Pm1 Pm 0.000 0.000 0.500
Pr1 Pr 0.247 0.000 0.870
Pr2 Pr 0.249 0.500 0.622
Tm1 Tm 0.001 0.500 0.744
```

Values from the calculation:
Spin magnetization = 0.000 Bohr magnetons per cell
Formation energy = 0.03 eV per atom

(4)
Entry from Alexandria via LeMat-Bulk: an optimized crystal structure of ScTa2Mo (GGA-PBE).

Cell and atoms, written as CIF:
```
data_ScTa2Mo
_chemical_formula_sum 'Sc2 Ta4 Mo2'
_space_group_name_H-M_alt 'C m m m'
_space_group_IT_number 65
_space_group_name_Hall '-C 2 2'
_cell_length_a 5.569
_cell_length_b 9.547
_cell_length_c 2.772
_cell_angle_alpha 90.00
_cell_angle_beta 90.00
_cell_angle_gamma 90.00
loop_
_atom_site_label
_atom_site_type_symbol
_atom_site_fract_x
_atom_site_fract_y
_atom_site_fract_z
Sc1 Sc 0.000 0.000 0.000
Ta1 Ta 0.250 0.250 0.500
Mo1 Mo 0.000 0.500 0.000
```

Values from the calculation:
Spin magnetization = 0.000 Bohr magnetons per cell
Formation energy = 0.26 eV per atom

(5)
Entry from Alexandria via LeMat-Bulk: an optimized crystal structure of La2GaNi2 (GGA-PBE).

Cell and atoms, written as CIF:
```
data_La2GaNi2
_chemical_formula_sum 'La4 Ga2 Ni4'
_space_group_name_H-M_alt 'I 4/m m m'
_space_group_IT_number 139
_space_group_name_Hall '-I 4 2'
_cell_length_a 3.569
_cell_length_b 3.569
_cell_length_c 17.455
_cell_angle_alpha 90.00
_cell_angle_beta 90.00
_cell_angle_gamma 90.00
loop_
_atom_site_label
_atom_site_type_symbol
_atom_site_fract_x
_atom_site_fract_y
_atom_site_fract_z
La1 La 0.000 0.000 0.121
Ga1 Ga 0.000 0.000 0.500
Ni1 Ni 0.000 0.500 0.250
```

Values from the calculation:
Spin magnetization = 0.000 Bohr magnetons per cell
Formation energy = -0.25 eV per atom

(6)
Entry from Alexandria via LeMat-Bulk: an optimized crystal structure of Tm11Tl9Ag4 (GGA-PBE).

Cell and atoms, written as CIF:
```
data_Tm11Tl9Ag4
_chemical_formula_sum 'Tm22 Tl18 Ag8'
_space_group_name_H-M_alt 'C m m m'
_space_group_IT_number 65
_space_group_name_Hall '-C 2 2'
_cell_length_a 14.725
_cell_length_b 22.198
_cell_length_c 3.715
_cell_angle_alpha 90.00
_cell_angle_beta 90.00
_cell_angle_gamma 90.00
loop_
_atom_site_label
_atom_site_type_symbol
_atom_site_fract_x
_atom_site_fract_y
_atom_site_fract_z
Tm1 Tm 0.000 0.000 0.000
Tm2 Tm 0.000 0.162 0.000
Tm3 Tm 0.000 0.366 0.000
Tm4 Tm 0.202 0.500 0.000
Tm5 Tm 0.241 0.171 0.000
Tl1 Tl 0.000 0.500 0.500
Tl2 Tl 0.111 0.259 0.500
Tl3 Tl 0.138 0.075 0.500
Ag1 Ag 0.150 0.401 0.500
```

Values from the calculation:
Spin magnetization = 0.003 Bohr magnetons per cell
Formation energy = -0.30 eV per atom